# Ba2MgMn2CuF14

A geometry-optimized Ba2MgMn2CuF14 structure (GGA+U, Alexandria).

a b c (Å): 5.334 7.454 14.894
angles (deg): 93.45 89.74 108.80
Each line ends with the local moment (μB).
Positions (direct):
Ba 0.114 0.356 0.623  0.00
Ba 0.263 0.371 0.127  0.00
Ba 0.887 0.645 0.376  0.00
Ba 0.740 0.630 0.873  0.00
Mg 0.466 0.033 0.750  0.00
Mg 0.536 0.969 0.250  0.00
Mn 0.102 0.230 0.875  3.84
Mn 0.901 0.771 0.125  3.84
Mn 0.140 0.244 0.371  3.84
Mn 0.861 0.757 0.629  3.84
Cu 0.502 0.001 0.000  0.76
Cu 0.501 0.001 0.500  0.69
F 0.883 0.013 0.333  -0.01
F 0.888 0.300 0.452  0.00
F 0.114 0.701 0.548  0.00
F 0.628 0.519 0.594  -0.01
F 0.612 0.113 0.621  0.07
F 0.528 0.920 0.875  0.07
F 0.401 0.275 0.956  0.00
F 0.908 0.018 0.158  -0.01
F 0.396 0.296 0.772  0.04
F 0.373 0.483 0.406  -0.01
F 0.838 0.216 0.785  0.00
F 0.148 0.488 0.898  -0.01
F 0.404 0.199 0.289  0.01
F 0.164 0.785 0.214  0.00
F 0.475 0.082 0.125  0.07
F 0.607 0.705 0.228  0.04
F 0.135 0.835 0.009  0.11
F 0.118 0.988 0.666  -0.01
F 0.868 0.167 0.991  0.11
F 0.735 0.857 0.511  0.10
F 0.602 0.726 0.043  0.00
F 0.597 0.802 0.711  0.01
F 0.994 0.373 0.273  0.05
F 0.267 0.145 0.489  0.10
F 0.389 0.888 0.379  0.07
F 0.096 0.983 0.842  -0.01
F 0.006 0.628 0.727  0.05
F 0.855 0.513 0.101  -0.01

Output
The total energy is -5.44 eV/atom. The value obtained for the calculated volume is 13.99 A^3/atom.